Crystalline RuSe2Br at its relaxed geometry, computed with PBE-GGA.

Summary:
- electronic total energy (eV/atom) = -4.6227
- energy above the most stable polymorph in this dataset (eV per formula unit) = 0.00
- symmetry = R-3m (166)
- formation energy (no corrections) (eV/atom) = -0.143

```
data_RuSe2Br
_cell_length_a 7.962
_cell_length_b 7.962
_cell_length_c 7.962
_cell_angle_alpha 27.70
_cell_angle_beta 27.70
_cell_angle_gamma 27.70
_space_group_name_H-M_alt 'P 1'
_space_group_IT_number 1
_space_group_name_Hall 'P 1'
loop_
_atom_site_label
_atom_site_fract_x
_atom_site_fract_y
_atom_site_fract_z
_atom_site_occupancy
Ru1 0.500 0.500 0.500 1
Se1 0.886 0.886 0.886 1
Se2 0.114 0.114 0.114 1
Br1 0.000 0.000 0.000 1
```

Crystalline Ru2SeBr at its relaxed geometry, computed with PBE-GGA.

Summary:
- electronic total energy (eV/atom) = -5.2626
- energy above the most stable polymorph in this dataset (eV per formula unit) = 2.00
- symmetry = I4/mmm (139)
- formation energy (no corrections) (eV/atom) = 0.665

```
data_Ru2SeBr
_cell_length_a 4.488
_cell_length_b 4.488
_cell_length_c 4.488
_cell_angle_alpha 120.10
_cell_angle_beta 120.10
_cell_angle_gamma 89.82
_space_group_name_H-M_alt 'P 1'
_space_group_IT_number 1
_space_group_name_Hall 'P 1'
loop_
_atom_site_label
_atom_site_fract_x
_atom_site_fract_y
_atom_site_fract_z
_atom_site_occupancy
Br1 0.750 0.250 0.500 1
Ru1 0.000 0.000 0.000 1
Ru2 0.500 0.500 0.000 1
Se1 0.250 0.750 0.500 1
```

Crystalline Ru2SeBr at its relaxed geometry, computed with PBE-GGA.

Summary:
- electronic total energy (eV/atom) = -5.5779
- energy above the most stable polymorph in this dataset (eV per formula unit) = 0.73
- symmetry = Pmm2 (25)
- formation energy (no corrections) (eV/atom) = 0.349

```
data_Ru2SeBr
_cell_length_a 3.114
_cell_length_b 3.796
_cell_length_c 6.389
_cell_angle_alpha 90.00
_cell_angle_beta 90.00
_cell_angle_gamma 90.00
_space_group_name_H-M_alt 'P 1'
_space_group_IT_number 1
_space_group_name_Hall 'P 1'
loop_
_atom_site_label
_atom_site_fract_x
_atom_site_fract_y
_atom_site_fract_z
_atom_site_occupancy
Br1 0.500 0.500 0.852 1
Ru1 0.000 0.000 0.018 1
Ru2 0.500 0.500 0.240 1
Se1 0.000 0.000 0.390 1
```

Crystalline Ru2SeBr at its relaxed geometry, computed with PBE-GGA.

Summary:
- electronic total energy (eV/atom) = -5.6124
- energy above the most stable polymorph in this dataset (eV per formula unit) = 0.60
- symmetry = C2/m (12)
- formation energy (no corrections) (eV/atom) = 0.315

```
data_Ru2SeBr
_cell_length_a 4.099
_cell_length_b 4.099
_cell_length_c 7.816
_cell_angle_alpha 61.02
_cell_angle_beta 61.02
_cell_angle_gamma 44.79
_space_group_name_H-M_alt 'P 1'
_space_group_IT_number 1
_space_group_name_Hall 'P 1'
loop_
_atom_site_label
_atom_site_fract_x
_atom_site_fract_y
_atom_site_fract_z
_atom_site_occupancy
Br1 0.250 0.250 0.250 1
Ru1 0.946 0.946 0.916 1
Ru2 0.554 0.554 0.584 1
Se1 0.750 0.750 0.750 1
```

Crystalline RuSe4Br at its relaxed geometry, computed with PBE-GGA.

Summary:
- electronic total energy (eV/atom) = -4.2333
- energy above the most stable polymorph in this dataset (eV per formula unit) = 0.00
- symmetry = P-1 (2)
- formation energy (no corrections) (eV/atom) = -0.086

```
data_RuSe4Br
_cell_length_a 6.877
_cell_length_b 7.096
_cell_length_c 7.859
_cell_angle_alpha 70.41
_cell_angle_beta 103.54
_cell_angle_gamma 104.76
_space_group_name_H-M_alt 'P 1'
_space_group_IT_number 1
_space_group_name_Hall 'P 1'
loop_
_atom_site_label
_atom_site_fract_x
_atom_site_fract_y
_atom_site_fract_z
_atom_site_occupancy
Ru1 0.750 0.997 0.997 1
Ru2 0.250 0.003 0.003 1
Se1 0.081 0.185 0.138 1
Se2 0.001 0.783 0.219 1
Se3 0.442 0.056 0.738 1
Se4 0.558 0.944 0.262 1
Se5 0.919 0.815 0.862 1
Se6 0.555 0.293 0.906 1
Se7 0.445 0.707 0.094 1
Se8 0.999 0.217 0.781 1
Br1 0.326 0.681 0.631 1
Br2 0.674 0.319 0.369 1
```

Crystalline Ru2SeBr at its relaxed geometry, computed with PBE-GGA.

Summary:
- electronic total energy (eV/atom) = -5.6084
- energy above the most stable polymorph in this dataset (eV per formula unit) = 0.61
- symmetry = P4mm (99)
- formation energy (no corrections) (eV/atom) = 0.319

```
data_Ru2SeBr
_cell_length_a 2.978
_cell_length_b 2.978
_cell_length_c 8.549
_cell_angle_alpha 90.00
_cell_angle_beta 90.00
_cell_angle_gamma 90.00
_space_group_name_H-M_alt 'P 1'
_space_group_IT_number 1
_space_group_name_Hall 'P 1'
loop_
_atom_site_label
_atom_site_fract_x
_atom_site_fract_y
_atom_site_fract_z
_atom_site_occupancy
Br1 0.500 0.500 0.822 1
Ru1 0.000 0.000 0.032 1
Ru2 0.500 0.500 0.231 1
Se1 0.000 0.000 0.415 1
```